No. 1
A geometry-optimized BeAu5 structure, computed with PBEsol.

The space group is Cm (No. 8) and the conventional cell measures 9.885, 2.935 and 6.999 Å, with angles of 90.00, 112.56 and 90.00 degrees. Symmetry generates all atoms from Be at (0.000, 0.000, 0.000), Au at (0.000, 0.000, 0.501), Au at (0.132, 0.500, 0.866), Au at (0.178, 0.500, 0.305), Au at (0.322, 0.000, 0.697) and Au at (0.369, 0.000, 0.137).

For the density of states at the Fermi level, the calculation gives 3.719 states/eV/cell. For the energy relative to the elements, the calculation gives -0.058 eV per atom.

---

No. 2
A geometry-optimized BeAu structure, computed with PBEsol.

The space group is P-6m2 (No. 187) and the conventional cell measures 3.1724, 3.1724 and 3.0830 Å, with angles of 90.00, 90.00 and 120.00 degrees. Symmetry generates all atoms from Be at (0.0000, 0.0000, 0.0000) and Au at (0.6667, 0.3333, 0.5000).

For the density of states at the Fermi level, the calculation gives 0.535 states/eV/cell. For the energy relative to the elements, the calculation gives -0.061 eV per atom.

---

No. 3
A geometry-optimized BeAu structure, computed with PBEsol.

The space group is Pbcm (No. 57) and the conventional cell measures 8.348, 6.973 and 5.254 Å, with angles of 90.00, 90.00 and 90.00 degrees. Symmetry generates all atoms from Be at (0.066, 0.041, 0.250), Be at (0.366, 0.613, 0.250), Be at (0.427, 0.250, 0.000), Au at (0.125, 0.750, 0.000), Au at (0.182, 0.147, 0.750) and Au at (0.379, 0.535, 0.750).

For the density of states at the Fermi level, the calculation gives 4.655 states/eV/cell. For the energy relative to the elements, the calculation gives -0.119 eV per atom.

---

No. 4
A geometry-optimized Be2Bi2Au structure, computed with PBEsol.

The space group is I4/mmm (No. 139) and the conventional cell measures 3.462, 3.462 and 16.470 Å, with angles of 90.00, 90.00 and 90.00 degrees. Symmetry generates all atoms from Be at (0.000, 0.500, 0.250), Bi at (0.000, 0.000, 0.121) and Au at (0.000, 0.000, 0.500).

For the density of states at the Fermi level, the calculation gives 4.179 states/eV/cell. For the energy relative to the elements, the calculation gives 0.412 eV per atom.

---

No. 5
A geometry-optimized BeAuBr structure, computed with PBEsol.

The space group is Imm2 (No. 44) and the conventional cell measures 2.868, 3.313 and 12.341 Å, with angles of 90.00, 90.00 and 90.00 degrees. Symmetry generates all atoms from Be at (0.000, 0.000, 0.000), Au at (0.000, 0.000, 0.422) and Br at (0.000, 0.000, 0.172).

For the density of states at the Fermi level, the calculation gives 1.525 states/eV/cell. The formation energy from raw total energies is -0.114 eV/atom.

---

No. 6
A geometry-optimized BeAuBr structure, computed with PBEsol.

The space group is P3m1 (No. 156) and the conventional cell measures 3.2951, 3.2951 and 5.6776 Å, with angles of 90.00, 90.00 and 120.00 degrees. Symmetry generates all atoms from Be at (0.0000, 0.0000, 0.0000), Au at (0.3333, 0.6667, 0.2538) and Br at (0.6667, 0.3333, 0.7492).

For the density of states at the Fermi level, the calculation gives 0.204 states/eV/cell. The formation energy from raw total energies is -0.172 eV/atom.

---

No. 7
A geometry-optimized BeReAu2Br structure, computed with PBEsol.

The space group is P4/mmm (No. 123) and the conventional cell measures 4.928, 4.928 and 4.538 Å, with angles of 90.00, 90.00 and 90.00 degrees. Symmetry generates all atoms from Be at (0.000, 0.000, 0.000), Re at (0.000, 0.000, 0.500), Au at (0.000, 0.500, 0.500) and Br at (0.500, 0.500, 0.000).

For the density of states at the Fermi level, the calculation gives 4.258 states/eV/cell. The formation energy from raw total energies is 1.396 eV/atom.

---

No. 8
A geometry-optimized BeAuC2 structure, computed with PBEsol.

The space group is I-42d (No. 122) and the conventional cell measures 4.505, 4.505 and 8.785 Å, with angles of 90.00, 90.00 and 90.00 degrees. Symmetry generates all atoms from Be at (0.000, 0.000, 0.000), Au at (0.000, 0.000, 0.500) and C at (0.206, 0.250, 0.125).

For the density of states at the Fermi level, the calculation gives 6.121 states/eV/cell. For the energy relative to the elements, the calculation gives 1.514 eV per atom.